Record 1
HoTcIO4 PBE-GGA relaxed; spin magnetization = 1.248 μB per formula unit; E_tot = -7.069 eV per atom; energy relative to the elements, uncorrected = -13.16 eV per formula unit
1.0
5.5899 -3.5030 0.0000
5.5899 3.5030 0.0000
-1.6607 0.0000 6.6672
Ho Tc I O
2 2 2 8
Direct
0.2502 0.2502 0.1183 Ho
0.7498 0.7498 0.8817 Ho
0.3709 0.3709 0.7241 Tc
0.6291 0.6291 0.2759 Tc
0.0081 0.0081 0.7488 I
0.9919 0.9919 0.2512 I
0.1201 0.4879 0.8618 O
0.2990 0.2990 0.4657 O
0.4669 0.4669 0.2070 O
0.4879 0.1201 0.8618 O
0.5121 0.8799 0.1382 O
0.5331 0.5331 0.7930 O
0.7010 0.7010 0.5343 O
0.8799 0.5121 0.1382 O


Record 2
YPd4Au7 PBE-GGA relaxed; spin magnetization = 0.000 μB per formula unit; E_tot = -4.250 eV per atom; energy of formation = -0.07 eV per atom
1.0
5.5709 -2.5677 0.0000
5.5709 2.5677 0.0000
-5.3560 0.0000 8.2163
Y Pd Au
1 4 7
Direct
0.0000 0.0000 0.0000 Y
0.2833 0.2833 0.6756 Pd
0.4291 0.4291 0.2258 Pd
0.5709 0.5709 0.7742 Pd
0.7167 0.7167 0.3244 Pd
0.0650 0.0650 0.3511 Au
0.2115 0.2115 0.9062 Au
0.3513 0.3513 0.4428 Au
0.5000 0.5000 0.0000 Au
0.6487 0.6487 0.5572 Au
0.7885 0.7885 0.0938 Au
0.9350 0.9350 0.6489 Au


Record 3
Ba2CuRe PBE-GGA relaxed; spin magnetization = 2.022 μB per formula unit; E_tot = -3.975 eV per atom; energy of formation = 1.12 eV per atom
1.0
4.1826 -1.7542 0.0000
4.1826 1.7542 0.0000
-1.2607 0.0000 8.6157
Ba Cu Re
2 1 1
Direct
0.2494 0.2494 0.2423 Ba
0.7506 0.7506 0.7577 Ba
0.0000 0.0000 0.5000 Cu
0.5000 0.5000 0.0000 Re


Record 4
PrNd2Hg PBE-GGA relaxed; spin magnetization = 0.000 μB per formula unit; E_tot = -3.808 eV per atom; energy of formation = -0.15 eV per atom
1.0
1.8670 1.0779 10.9723
-1.8670 1.0779 10.9723
0.0000 -2.1558 10.9723
Pr Nd Hg
1 2 1
Direct
0.0000 0.0000 0.0000 Pr
0.2420 0.2420 0.2420 Nd
0.7580 0.7580 0.7580 Nd
0.5000 0.5000 0.5000 Hg


Record 5
AlTc2Ru PBE-GGA relaxed; spin magnetization = 0.000 μB per formula unit; E_tot = -8.592 eV per atom; energy of formation = -0.15 eV per atom
1.0
2.7879 0.0000 0.0000
0.0000 3.9545 0.0000
0.0000 0.0000 5.2204
Al Tc Ru
1 2 1
Direct
0.0000 0.0000 0.0000 Al
0.0000 0.0000 0.5014 Tc
0.5000 0.5000 0.7343 Tc
0.5000 0.5000 0.2106 Ru


Record 6
BaAg2Sb2 PBE-GGA relaxed; spin magnetization = 0.000 μB per formula unit; E_tot = -3.643 eV per atom; energy relative to the elements, uncorrected = -2.35 eV per formula unit
1.0
-2.4215 2.4215 6.0420
2.4215 -2.4215 6.0420
2.4215 2.4215 -6.0420
Ba Ag Sb
1 2 2
Direct
0.0000 0.0000 0.0000 Ba
0.2500 0.7500 0.5000 Ag
0.7500 0.2500 0.5000 Ag
0.3768 0.3768 0.0000 Sb
0.6232 0.6232 0.0000 Sb


Record 7
Mn4AlP PBE-GGA relaxed; spin magnetization = 4.355 μB per formula unit; E_tot = -7.425 eV per atom; energy of formation = 0.21 eV per atom
1.0
0.0000 3.3253 3.3253
3.3253 0.0000 3.3253
3.3253 3.3253 0.0000
Mn Al P
4 1 1
Direct
0.1247 0.1247 0.1247 Mn
0.1247 0.1247 0.6259 Mn
0.1247 0.6259 0.1247 Mn
0.6259 0.1247 0.1247 Mn
0.5000 0.5000 0.5000 Al
0.7500 0.7500 0.7500 P


Record 8
Ac4CoSn8 PBE-GGA relaxed; spin magnetization = 0.000 μB per formula unit; E_tot = -4.819 eV per atom; energy of formation = -0.54 eV per atom
1.0
4.6005 0.0000 0.0000
0.0000 4.7206 0.0000
0.0000 0.0000 18.2424
Ac Co Sn
4 1 8
Direct
0.0000 0.0000 0.0000 Ac
0.0000 0.5000 0.4961 Ac
0.5000 0.0000 0.2083 Ac
0.5000 0.5000 0.7060 Ac
0.5000 0.0000 0.4108 Co
0.0000 0.0000 0.3494 Sn
0.0000 0.0000 0.6552 Sn
0.0000 0.5000 0.1583 Sn
0.0000 0.5000 0.8565 Sn
0.5000 0.0000 0.5507 Sn
0.5000 0.0000 0.8496 Sn
0.5000 0.5000 0.0512 Sn
0.5000 0.5000 0.3466 Sn


Record 9
DyMgScHg PBE-GGA relaxed; spin magnetization = 0.290 μB per formula unit; E_tot = -3.451 eV per atom; energy of formation = -0.24 eV per atom
1.0
0.0000 3.6424 3.6424
3.6424 0.0000 3.6424
3.6424 3.6424 0.0000
Dy Mg Sc Hg
1 1 1 1
Direct
0.0000 0.0000 0.0000 Dy
0.2500 0.2500 0.2500 Mg
0.5000 0.5000 0.5000 Sc
0.7500 0.7500 0.7500 Hg


Record 10
CrIrW PBE-GGA relaxed; spin magnetization = 0.007 μB per formula unit; E_tot = -10.325 eV per atom; energy of formation = 0.15 eV per atom
1.0
-1.5486 1.5486 4.5063
1.5486 -1.5486 4.5063
1.5486 1.5486 -4.5063
Cr Ir W
1 1 1
Direct
0.0000 0.0000 0.0000 Cr
0.6771 0.6771 0.0000 Ir
0.3600 0.3600 0.0000 W


Record 11
BaGaSn PBE-GGA relaxed; spin magnetization = 0.000 μB per formula unit; E_tot = -3.528 eV per atom; energy of formation = -0.54 eV per atom
1.0
-2.3432 4.0470 5.1507
2.3432 -4.0470 5.1507
2.3432 4.0470 -5.1507
Ba Ga Sn
2 2 2
Direct
0.2424 0.2424 0.0000 Ba
0.7576 0.7576 0.0000 Ba
0.3484 0.0000 0.3484 Ga
0.6516 0.0000 0.6516 Ga
0.1815 0.5000 0.6815 Sn
0.8185 0.5000 0.3185 Sn


Record 12
PmSmGa PBE-GGA relaxed; spin magnetization = 0.000 μB per formula unit; E_tot = -4.538 eV per atom; energy of formation = -0.37 eV per atom
1.0
8.3929 -1.8914 0.0000
8.3929 1.8914 0.0000
-0.0019 0.0000 5.2579
Pm Sm Ga
2 2 2
Direct
0.0746 0.0746 0.2494 Pm
0.9254 0.9254 0.7506 Pm
0.2212 0.2212 0.7500 Sm
0.7788 0.7788 0.2500 Sm
0.4223 0.4223 0.2508 Ga
0.5777 0.5777 0.7492 Ga